1.
VASP calculation (GGA-PBE) on crystalline NdEuAgHg at its relaxed geometry.

Values from the calculation:
For the calculated volume, the calculation gives 25.0 A^3/atom. The value obtained for the electronic total energy is -4.755 eV per atom.

Lattice parameters (Å, degrees): 7.3682 7.3682 7.3682 90.00 90.00 90.00
Space group F-43m (No. 216)
Inequivalent atoms, fractional coordinates:
Nd1 0.0000 0.0000 0.0000 (multiplicity 4)
Eu1 0.2500 0.2500 0.7500 (multiplicity 4)
Ag1 0.0000 0.0000 0.5000 (multiplicity 4)
Hg1 0.2500 0.2500 0.2500 (multiplicity 4)

2.
VASP calculation (GGA-PBE) on crystalline CaY2Te at its relaxed geometry.

Values from the calculation:
For the calculated volume, the calculation gives 30.4 A^3/atom. The value obtained for the electronic total energy is -4.897 eV per atom.

Lattice parameters (Å, degrees): 4.0290 5.3177 5.6786 90.00 90.00 90.00
Space group Pmmm (No. 47)
Inequivalent atoms, fractional coordinates:
Ca1 0.0000 0.0000 0.0000 (multiplicity 1)
Y1 0.0000 0.5000 0.5000 (multiplicity 1)
Y2 0.5000 0.0000 0.5000 (multiplicity 1)
Te1 0.5000 0.5000 0.0000 (multiplicity 1)

3.
VASP calculation (GGA-PBE) on crystalline Ho3MgAg at its relaxed geometry.

Values from the calculation:
For the calculated volume, the calculation gives 27.3 A^3/atom. The value obtained for the electronic total energy is -3.645 eV per atom.

Lattice parameters (Å, degrees): 11.7870 6.3867 14.5690 90.00 95.51 90.00
Space group C2/c (No. 15)
Inequivalent atoms, fractional coordinates:
Ho1 0.0678 0.0980 0.1099 (multiplicity 8)
Ho2 0.1632 0.2063 0.7968 (multiplicity 8)
Ho3 0.1903 0.3092 0.3966 (multiplicity 8)
Mg1 0.0557 0.3983 0.5849 (multiplicity 8)
Ag1 0.0000 0.4084 0.2500 (multiplicity 4)
Ag2 0.2500 0.2500 0.0000 (multiplicity 4)

4.
VASP calculation (GGA-PBE) on crystalline Na2GaRhO4 at its relaxed geometry.

Values from the calculation:
For the calculated volume, the calculation gives 11.0 A^3/atom. The value obtained for the electronic total energy is -5.584 eV per atom.

Lattice parameters (Å, degrees): 5.3518 3.1002 5.5928 90.00 108.49 90.00
Space group P2/m (No. 10)
Inequivalent atoms, fractional coordinates:
Na1 0.0000 0.0000 0.0000 (multiplicity 1)
Na2 0.5000 0.5000 0.0000 (multiplicity 1)
Ga1 0.0000 0.5000 0.5000 (multiplicity 1)
Rh1 0.5000 0.0000 0.5000 (multiplicity 1)
O1 0.2279 0.0000 0.7015 (multiplicity 2)
O2 0.2600 0.5000 0.3036 (multiplicity 2)

5.
VASP calculation (GGA-PBE) on crystalline Hf2Ga4Cu at its relaxed geometry.

Values from the calculation:
For the calculated volume, the calculation gives 19.6 A^3/atom. The value obtained for the electronic total energy is -4.982 eV per atom.

Lattice parameters (Å, degrees): 4.4626 4.4626 13.8070 90.00 90.00 90.00
Space group I4/mmm (No. 139)
Inequivalent atoms, fractional coordinates:
Hf1 0.0000 0.0000 0.1301 (multiplicity 4)
Ga1 0.0000 0.0000 0.3250 (multiplicity 4)
Ga2 0.0000 0.5000 0.0000 (multiplicity 4)
Cu1 0.0000 0.0000 0.5000 (multiplicity 2)

6.
VASP calculation (GGA-PBE) on crystalline Rb3Cd5Hg2 at its relaxed geometry.

Values from the calculation:
For the calculated volume, the calculation gives 35.4 A^3/atom. The value obtained for the electronic total energy is -0.889 eV per atom.

Lattice parameters (Å, degrees): 12.8092 15.1059 7.3252 90.00 90.00 90.00
Space group Ibam (No. 72)
Inequivalent atoms, fractional coordinates:
Rb1 0.0000 0.0000 0.2500 (multiplicity 4)
Rb2 0.2265 0.3797 0.0000 (multiplicity 8)
Cd1 0.0000 0.2463 0.2500 (multiplicity 8)
Cd2 0.0000 0.5000 0.2500 (multiplicity 4)
Cd3 0.1115 0.3725 0.5000 (multiplicity 8)
Hg1 0.1595 0.1504 0.0000 (multiplicity 8)

7.
VASP calculation (GGA-PBE) on crystalline Y5ThZn6 at its relaxed geometry.

Values from the calculation:
For the calculated volume, the calculation gives 23.2 A^3/atom. The value obtained for the electronic total energy is -4.270 eV per atom.

Lattice parameters (Å, degrees): 5.0769 7.2100 15.2425 90.00 90.00 90.00
Space group Immm (No. 71)
Inequivalent atoms, fractional coordinates:
Y1 0.0000 0.0000 0.0000 (multiplicity 2)
Y2 0.0000 0.0000 0.3342 (multiplicity 4)
Y3 0.0000 0.5000 0.3334 (multiplicity 4)
Th1 0.0000 0.5000 0.0000 (multiplicity 2)
Zn1 0.0000 0.2463 0.1690 (multiplicity 8)
Zn2 0.0000 0.2572 0.5000 (multiplicity 4)